## SrTlBi (PBE-GGA)

Data for a geometry-optimized SrTlBi structure.

The structure in extended XYZ format:
```
3
Lattice="4.950 0.000 0.000 -2.475 4.286 0.000 0.000 0.000 5.114" Properties=species:S:1:pos:R:3 pbc="T T T"
Sr 0.000 0.000 0.000
Tl 0.000 2.858 3.261
Bi 2.475 1.429 1.859
```

Computed properties:
formation enthalpy at 0 K = -494 meV/atom
crystal system = trigonal
uncorrected energy = -9.41 eV per formula unit
energy above the most stable polymorph in this dataset = 24 meV/atom

***

## SrTlBi2 (PBE-GGA)

Data for a geometry-optimized SrTlBi2 structure.

The structure in extended XYZ format:
```
4
Lattice="1.824 1.053 12.693 -1.824 1.053 12.693 0.000 -2.106 12.693" Properties=species:S:1:pos:R:3 pbc="T T T"
Sr 0.000 0.000 0.000
Tl 0.000 0.000 19.039
Bi 0.000 0.000 3.366
Bi 0.000 0.000 34.712
```

Computed properties:
formation enthalpy at 0 K = 88 meV/atom
crystal system = trigonal
uncorrected energy = -11.46 eV per formula unit
energy above the most stable polymorph in this dataset = 546 meV/atom

***

## Sr5Tl2Bi5 (PBE-GGA)

Data for a geometry-optimized Sr5Tl2Bi5 structure.

The structure in extended XYZ format:
```
12
Lattice="9.333 -2.475 0.000 9.333 2.475 0.000 -7.451 0.000 9.468" Properties=species:S:1:pos:R:3 pbc="T T T"
Sr 0.000 0.000 0.000
Sr -1.129 0.000 3.839
Sr -2.718 0.000 7.711
Sr 13.933 0.000 1.758
Sr 12.344 0.000 5.629
Tl 0.854 0.000 7.513
Tl 10.361 0.000 1.955
Bi 2.525 0.000 3.260
Bi 6.962 0.000 1.338
Bi 5.607 0.000 4.734
Bi 4.253 0.000 8.131
Bi 8.690 0.000 6.208
```

Computed properties:
formation enthalpy at 0 K = -616 meV/atom
crystal system = monoclinic
uncorrected energy = -39.94 eV per formula unit